{"formula": "SmBeB4", "functional": "PBE", "state": "relaxed", "delta_e_f_ev_per_atom": -0.36, "space_group": "No. 65", "magnetic_moment_mub_per_atom": 0.0000, "cell": [[3.4511, 0.0000, 0.0000], [0.0000, 5.7773, -1.4510], [0.0000, -0.0131, 5.9567]], "species": ["Sm", "Sm", "Be", "Be", "B", "B", "B", "B", "B", "B", "B", "B"], "fractional_positions": [[0.0000, 0.3017, 0.6983], [0.0000, 0.6983, 0.3017], [0.0000, 0.8257, 0.8257], [0.0000, 0.1743, 0.1743], [0.5000, 0.9339, 0.6229], [0.5000, 0.0661, 0.3771], [0.5000, 0.6229, 0.9339], [0.5000, 0.3771, 0.0661], [0.5000, 0.3729, 0.3729], [0.5000, 0.6271, 0.6271], [0.5000, 0.0889, 0.9111], [0.5000, 0.9111, 0.0889]]}